Entry 1:
Crystalline K3Mg at its relaxed geometry, computed with PBE.

Values from the calculation:
N(E_F) in states/eV/f.u.: 2.665
Energy in eV per atom: -1.08
ΔE_f in eV/atom: 0.14

Cell: 6.8197 8.5326 7.4047 Å, 90.00 90.00 90.00°
Closest atoms and distances in Å follow each position.
Positions (direct):
K1 0.2500 0.0021 0.1716  7 K 4.03-4.30, 4 Mg 4.17-4.33
K2 0.2500 0.4979 0.1716  7 K 4.03-4.30, 4 Mg 4.17-4.33
K3 0.2500 0.7500 0.6324  6 K 4.03-4.27, 4 Mg 4.13-4.28
K4 0.7500 0.2500 0.3676  6 K 4.03-4.27, 4 Mg 4.13-4.28
K5 0.7500 0.5021 0.8284  7 K 4.03-4.30, 4 Mg 4.17-4.33
K6 0.7500 0.9979 0.8284  7 K 4.03-4.30, 4 Mg 4.17-4.33
Mg1 0.2500 0.2500 0.6821  12 K 4.13-4.33
Mg2 0.7500 0.7500 0.3179  12 K 4.13-4.33

***

Entry 2:
Crystalline KMg2 at its relaxed geometry, computed with PBE.

Values from the calculation:
N(E_F) in states/eV/f.u.: 1.200
Energy in eV per atom: -1.16
ΔE_f in eV/atom: 0.26

Cell: 3.2119 10.1170 10.1170 Å, 120.15 90.00 90.00°
Closest atoms and distances in Å follow each position.
Positions (direct):
K1 0.0000 0.0000 0.0000  2 K 3.21, 3 Mg 3.43
K2 0.5000 0.3333 0.6667  2 K 3.21, 3 Mg 3.41
K3 0.5000 0.6667 0.3333  2 K 3.21, 3 Mg 3.41
Mg1 0.0000 0.9997 0.3390  2 Mg 3.21, 1 K 3.43
Mg2 0.0000 0.3390 0.9997  2 Mg 3.21, 1 K 3.43
Mg3 0.0000 0.6599 0.6599  2 Mg 3.21, 1 K 3.43
Mg4 0.5000 0.0005 0.6751  2 Mg 3.21, 2 K 3.41
Mg5 0.5000 0.3257 0.3257  2 Mg 3.21, 2 K 3.41
Mg6 0.5000 0.6751 0.0005  2 Mg 3.21, 2 K 3.41

***

Entry 3:
Crystalline KMg8 at its relaxed geometry, computed with PBE.

Values from the calculation:
N(E_F) in states/eV/f.u.: 4.107
Energy in eV per atom: -1.40
ΔE_f in eV/atom: 0.14

Cell: 8.6430 8.6430 8.6430 Å, 92.05 92.05 158.18°
Closest atoms and distances in Å follow each position.
Positions (direct):
K1 0.0000 0.0000 0.0000  2 K 3.27, 8 Mg 3.44
Mg1 0.0000 0.3322 0.3322  10 Mg 3.27-3.28
Mg2 0.0000 0.6678 0.6678  10 Mg 3.27-3.28
Mg3 0.3215 0.3215 0.6430  8 Mg 2.93-3.27
Mg4 0.3215 0.6785 0.0000  8 Mg 2.93-3.27
Mg5 0.3322 0.0000 0.3322  10 Mg 3.27-3.28
Mg6 0.6678 0.0000 0.6678  10 Mg 3.27-3.28
Mg7 0.6785 0.3215 0.0000  8 Mg 2.93-3.27
Mg8 0.6785 0.6785 0.3570  8 Mg 2.93-3.27

***

Entry 4:
Crystalline KMg4 at its relaxed geometry, computed with PBE.

Values from the calculation:
N(E_F) in states/eV/f.u.: 2.839
Excess energy over the best structure of this formula in the dataset in eV/atom: 0.575
Energy in eV per atom: -0.73
ΔE_f in eV/atom: 0.76

Cell: 6.5832 6.5832 6.5832 Å, 109.47 109.47 109.47°
Closest atoms and distances in Å follow each position.
Positions (direct):
K1 0.0000 0.0000 0.0000  8 Mg 3.29
Mg1 0.0000 0.0000 0.5000  2 K 3.29
Mg2 0.0000 0.5000 0.0000  2 K 3.29
Mg3 0.5000 0.0000 0.0000  2 K 3.29
Mg4 0.5000 0.5000 0.5000  2 K 3.29

***

Entry 5:
Crystalline K3Mg at its relaxed geometry, computed with PBE.

Values from the calculation:
N(E_F) in states/eV/f.u.: 2.594
Energy in eV per atom: -1.04
ΔE_f in eV/atom: 0.18

Cell: 4.3711 4.3711 13.8609 Å, 90.00 90.00 120.00°
Closest atoms and distances in Å follow each position.
Positions (direct):
K1 0.0000 0.0000 0.0000  12 K 4.37-4.73
K2 0.6667 0.3333 0.2888  3 Mg 3.86
K3 0.6667 0.3333 0.7112  3 Mg 3.86
Mg1 0.0000 0.0000 0.5000  6 K 3.86

***

Entry 6:
Crystalline KMg2 at its relaxed geometry, computed with PBE.

Values from the calculation:
N(E_F) in states/eV/f.u.: 2.066
Energy in eV per atom: -1.26
ΔE_f in eV/atom: 0.17

Cell: 5.0902 5.0902 11.8730 Å, 102.63 102.63 57.93°
Closest atoms and distances in Å follow each position.
Positions (direct):
K1 0.0000 0.0000 0.0000  4 Mg 3.78-3.88
K2 0.2224 0.2224 0.6743  4 Mg 3.75-3.87
Mg1 0.1241 0.1241 0.3377  7 Mg 2.90-3.22
Mg2 0.4530 0.4530 0.3378  7 Mg 2.90-3.22
Mg3 0.7467 0.7467 0.2120  5 Mg 2.90-3.21
Mg4 0.8306 0.8306 0.4645  5 Mg 2.90-3.22

***

Entry 7:
Crystalline KMg2 at its relaxed geometry, computed with PBE.

Values from the calculation:
N(E_F) in states/eV/f.u.: 2.176
Energy in eV per atom: -1.29
ΔE_f in eV/atom: 0.14

Cell: 3.5016 4.8535 13.0919 Å, 90.00 96.75 90.00°
Closest atoms and distances in Å follow each position.
Positions (direct):
K1 0.1783 0.2500 0.3520  2 K 3.50, 1 Mg 3.65
K2 0.8217 0.7500 0.6480  2 K 3.50, 1 Mg 3.65
Mg1 0.0281 0.2500 0.0717  8 Mg 3.06-3.25
Mg2 0.4388 0.2500 0.8618  6 Mg 3.11-3.25
Mg3 0.5612 0.7500 0.1382  6 Mg 3.11-3.25
Mg4 0.9719 0.7500 0.9283  8 Mg 3.06-3.25

***

Entry 8:
Crystalline KMg2 at its relaxed geometry, computed with PBE.

Values from the calculation:
N(E_F) in states/eV/f.u.: 1.163
Energy in eV per atom: -1.31
ΔE_f in eV/atom: 0.12

Cell: 6.5674 6.5674 10.8255 Å, 90.00 90.00 120.00°
Closest atoms and distances in Å follow each position.
Positions (direct):
K1 0.3333 0.6667 0.0599  12 Mg 3.85-3.88, 4 K 4.01-4.12
K2 0.3333 0.6667 0.4401  12 Mg 3.85-3.88, 4 K 4.01-4.12
K3 0.6667 0.3333 0.5599  12 Mg 3.85-3.88, 4 K 4.01-4.12
K4 0.6667 0.3333 0.9401  12 Mg 3.85-3.88, 4 K 4.01-4.12
Mg1 0.0000 0.0000 0.0000  6 Mg 3.28
Mg2 0.0000 0.0000 0.5000  6 Mg 3.28
Mg3 0.1631 0.3263 0.7500  6 Mg 3.21-3.35
Mg4 0.1631 0.8369 0.7500  6 Mg 3.21-3.35
Mg5 0.3263 0.1631 0.2500  6 Mg 3.21-3.35
Mg6 0.6737 0.8369 0.7500  6 Mg 3.21-3.35
Mg7 0.8369 0.1631 0.2500  6 Mg 3.21-3.35
Mg8 0.8369 0.6737 0.2500  6 Mg 3.21-3.35